Record 1
Crystalline BeV2Fe4 at its relaxed geometry. Source: the Alexandria database, functional GGA-PBE.

Output
Formation enthalpy at 0 K, eV/atom: 0.061

a b c (Å): 3.999 3.999 5.802
angles (deg): 110.16 110.16 90.00
Fractional coordinates of all 7 atoms:
Fe  0.889  0.389  0.778
Fe  0.389  0.889  0.778
Fe  0.111  0.611  0.222
Fe  0.611  0.111  0.222
Be  0.000  0.000  0.000
V  0.747  0.747  0.495
V  0.253  0.253  0.505

***

Record 2
Crystalline In2NiTe2 at its relaxed geometry. Source: the Alexandria database, functional GGA-PBE.

Output
Energy above the lowest structure with this stoichiometry, kJ per mole of atoms: 15.7
Energy relative to the elements, uncorrected, eV/atom: 0.195

a b c (Å): 7.036 7.036 6.061
angles (deg): 90.00 90.00 90.00
Fractional coordinates of all 10 atoms:
Ni  0.500  0.500  0.000
Ni  0.000  0.000  0.000
In  0.743  0.757  0.000
In  0.257  0.243  0.000
In  0.757  0.257  0.000
In  0.243  0.743  0.000
Te  0.137  0.637  0.500
Te  0.863  0.363  0.500
Te  0.363  0.137  0.500
Te  0.637  0.863  0.500

***

Record 3
Crystalline VInRu3 at its relaxed geometry. Source: the Alexandria database, functional GGA-PBE.

Output
Formation enthalpy at 0 K, eV/atom: 2.079

a b c (Å): 4.814 4.814 4.814
angles (deg): 90.00 90.00 90.00
Fractional coordinates of all 5 atoms:
Ru  0.500  0.000  0.000
Ru  0.000  0.000  0.500
Ru  0.000  0.500  0.000
In  0.000  0.000  0.000
V  0.500  0.500  0.500

***

no.,total magnetic moment (Bohr magnetons per cell),ρ (g/cm³)
1,2.9,6.850
2,0.0,6.016
3,1.8,6.982